1.
Entry from the Alexandria database: an optimized crystal structure of YZrAl2 (PBE).

Summary:
The energy of formation from the pure elements is -0.1242 eV per atom. As for the offset from the most stable computed form: 267 meV/atom. The total energy is -5.749 eV per atom. For the spin magnetization, the calculation gives 0.000 μB per atom.

abc: 5.2298 3.1843 5.9007
angles: 90.00 112.50 90.00
Space group P2/m (No. 10)
Asymmetric unit:
Y  0.0000  0.0000  0.0000 [1 per cell]
Zr  0.5000  0.5000  0.5000 [1 per cell]
Al  0.0000  0.0000  0.5000 [1 per cell]
Al  0.5000  0.5000  0.0000 [1 per cell]

=====

2.
Entry from the Alexandria database: an optimized crystal structure of Ba2Sn3BiPd4 (PBE).

Summary:
The energy of formation from the pure elements is -0.6920 eV per atom. The total energy is -4.743 eV per atom. For the spin magnetization, the calculation gives 0.000 μB per atom.

abc: 4.8336 4.8336 10.9833
angles: 90.00 90.00 90.00
Space group P-4m2 (No. 115)
Asymmetric unit:
Ba  0.0000  0.5000  0.2442 [2 per cell]
Sn  0.0000  0.5000  0.8862 [2 per cell]
Sn  0.5000  0.5000  0.5000 [1 per cell]
Bi  0.0000  0.0000  0.5000 [1 per cell]
Pd  0.0000  0.0000  0.0000 [1 per cell]
Pd  0.0000  0.5000  0.6359 [2 per cell]
Pd  0.5000  0.5000  0.0000 [1 per cell]

=====

3.
Entry from the Alexandria database: an optimized crystal structure of Na2SrMo2 (PBE).

Summary:
The energy of formation from the pure elements is 1.0012 eV per atom. As for the offset from the most stable computed form: 236 meV/atom. The total energy is -4.195 eV per atom. For the spin magnetization, the calculation gives 0.000 μB per atom.

abc: 9.1534 9.1534 3.0360
angles: 90.00 90.00 90.00
Space group P4/mbm (No. 127)
Asymmetric unit:
Na  0.1996  0.3004  0.0000 [4 per cell]
Sr  0.0000  0.0000  0.0000 [2 per cell]
Mo  0.0840  0.5840  0.5000 [4 per cell]

=====

4.
Entry from the Alexandria database: an optimized crystal structure of NiPt2Br (PBE).

Summary:
As for the offset from the most stable computed form: 121 meV/atom. The total energy is -4.474 eV per atom. The uncorrected formation energy is 0.410 eV/atom. For the spin magnetization, the calculation gives 0.235 μB per atom.

abc: 3.1188 3.1188 6.8588
angles: 90.00 90.00 90.00
Space group P4mm (No. 99)
Asymmetric unit:
Ni  0.0000  0.0000  0.0000 [1 per cell]
Pt  0.0000  0.0000  0.4363 [1 per cell]
Pt  0.5000  0.5000  0.2039 [1 per cell]
Br  0.5000  0.5000  0.7577 [1 per cell]

=====

5.
Entry from the Alexandria database: an optimized crystal structure of LiPm3Tl3 (PBE).

Summary:
The energy of formation from the pure elements is -0.3093 eV per atom. As for the offset from the most stable computed form: 0 meV/atom. The total energy is -3.633 eV per atom. For the spin magnetization, the calculation gives 0.000 μB per atom.

abc: 11.6120 4.7105 15.4972
angles: 90.00 109.39 90.00
Space group C2/m (No. 12)
Asymmetric unit:
Li  0.2412  0.0000  0.4010 [4 per cell]
Pm  0.0371  0.5000  0.3855 [4 per cell]
Pm  0.0935  0.5000  0.9175 [4 per cell]
Pm  0.2405  0.5000  0.2228 [4 per cell]
Tl  0.0300  0.0000  0.2387 [4 per cell]
Tl  0.1269  0.0000  0.0724 [4 per cell]
Tl  0.1365  0.0000  0.5545 [4 per cell]

=====

6.
Entry from the Alexandria database: an optimized crystal structure of NdGa2Au2 (PBE).

Summary:
The energy of formation from the pure elements is 0.2165 eV per atom. The total energy is -3.259 eV per atom. For the spin magnetization, the calculation gives 0.115 μB per atom.

abc: 3.8351 3.8351 20.0112
angles: 90.00 90.00 90.00
Space group I4/mmm (No. 139)
Asymmetric unit:
Nd  0.0000  0.0000  0.0000 [2 per cell]
Ga  0.0000  0.0000  0.1511 [4 per cell]
Au  0.0000  0.5000  0.2500 [4 per cell]

=====

- What is the spin magnetization in the second record?
  0.000 μB per atom